The following is a DFT calculation (PBE) of a geometry-optimized Pr2LuO4 structure.

Lattice parameters (Å, degrees): 6.947 6.947 6.947 119.99 90.01 119.99
Atoms (fractional coordinates):
Pr 0.375 0.250 0.625
O 0.627 0.747 0.373
Pr 0.875 0.250 0.625
O 0.627 0.253 0.880
O 0.627 0.253 0.373
Pr 0.375 0.750 0.125
O 0.120 0.747 0.373
Lu 0.000 0.000 0.000
O 0.630 0.753 0.877
Lu 0.750 0.500 0.250
O 0.123 0.247 0.370
O 0.123 0.247 0.877
Pr 0.375 0.750 0.625
O 0.123 0.753 0.877

Summary:
Its crystal system is cubic. Its magnetization is 0.00 μB per formula unit. The electronic total energy is -111.11 eV for the cell shown.